# Mg14CoSn, relaxed, DFT GGA-PBEsol
data_Mg14CoSn
_chemical_formula_sum 'Mg14 Co1 Sn1'
_space_group_name_H-M_alt 'P -6 m 2'
_space_group_IT_number 187
_space_group_name_Hall 'P -6 2'
_cell_length_a 6.2372
_cell_length_b 6.2372
_cell_length_c 9.9271
_cell_angle_alpha 90.00
_cell_angle_beta 90.00
_cell_angle_gamma 120.00
loop_
_atom_site_label
_atom_site_type_symbol
_atom_site_fract_x
_atom_site_fract_y
_atom_site_fract_z
Mg1 Mg 0.0000 0.0000 0.2458
Mg2 Mg 0.1637 0.3274 0.5000
Mg3 Mg 0.1684 0.3368 0.0000
Mg4 Mg 0.5061 0.0123 0.2657
Co1 Co 0.6667 0.3333 0.5000
Sn1 Sn 0.6667 0.3333 0.0000
# Calculated density (g cm⁻³): 2.57
# DOS(E_F) (states/eV/f.u.): 8.52
# ΔH_f (0 K) (eV per atom): 0.04
# Uncorrected energy (eV per atom): -2.22



# TiGa2Pt, relaxed, DFT GGA-PBEsol
data_TiGa2Pt
_chemical_formula_sum 'Ti4 Ga8 Pt4'
_space_group_name_H-M_alt 'F m -3 m'
_space_group_IT_number 225
_space_group_name_Hall '-F 4 2 3'
_cell_length_a 6.200
_cell_length_b 6.200
_cell_length_c 6.200
_cell_angle_alpha 90.00
_cell_angle_beta 90.00
_cell_angle_gamma 90.00
loop_
_atom_site_label
_atom_site_type_symbol
_atom_site_fract_x
_atom_site_fract_y
_atom_site_fract_z
Ti1 Ti 0.000 0.000 0.000
Ga1 Ga 0.250 0.250 0.250
Pt1 Pt 0.000 0.000 0.500
# Calculated density (g cm⁻³): 10.66
# DOS(E_F) (states/eV/f.u.): 4.19
# ΔH_f (0 K) (eV per atom): -0.49
# Uncorrected energy (eV per atom): -5.98



# Na8SnO6, relaxed, DFT GGA-PBEsol
data_Na8SnO6
_chemical_formula_sum 'Na16 Sn2 O12'
_space_group_name_H-M_alt 'P 63 c m'
_space_group_IT_number 185
_space_group_name_Hall 'P 6c -2'
_cell_length_a 6.4206
_cell_length_b 6.4206
_cell_length_c 12.7629
_cell_angle_alpha 90.00
_cell_angle_beta 90.00
_cell_angle_gamma 120.00
loop_
_atom_site_label
_atom_site_type_symbol
_atom_site_fract_x
_atom_site_fract_y
_atom_site_fract_z
Na1 Na 0.0000 0.3003 0.0000
Na2 Na 0.0000 0.4005 0.6444
Na3 Na 0.3333 0.6667 0.3595
Sn1 Sn 0.0000 0.0000 0.2724
O1 O 0.0000 0.0000 0.1150
O2 O 0.0000 0.2933 0.8183
O3 O 0.3333 0.6667 0.0490
# Calculated density (g cm⁻³): 2.91
# Uncorrected energy (eV per atom): -4.53
# Formation energy from raw total energies (eV per formula unit): -21.0



# Li4WCl, relaxed, DFT GGA-PBEsol
data_Li4WCl
_chemical_formula_sum 'Li16 W4 Cl4'
_space_group_name_H-M_alt 'F -4 3 m'
_space_group_IT_number 216
_space_group_name_Hall 'F -4 2 3'
_cell_length_a 7.407
_cell_length_b 7.407
_cell_length_c 7.407
_cell_angle_alpha 90.00
_cell_angle_beta 90.00
_cell_angle_gamma 90.00
loop_
_atom_site_label
_atom_site_type_symbol
_atom_site_fract_x
_atom_site_fract_y
_atom_site_fract_z
Li1 Li 0.123 0.123 0.123
W1 W 0.250 0.250 0.750
Cl1 Cl 0.000 0.000 0.500
# Calculated density (g cm⁻³): 4.04
# DOS(E_F) (states/eV/f.u.): 1.25
# Uncorrected energy (eV per atom): -3.24
# Formation energy from raw total energies (eV per formula unit): 4.3



# PbCl2, relaxed, DFT GGA-PBEsol
data_PbCl2
_chemical_formula_sum 'Pb8 Cl16'
_space_group_name_H-M_alt 'P 1 21/c 1'
_space_group_IT_number 14
_cell_length_a 9.903
_cell_length_b 4.088
_cell_length_c 15.260
_cell_angle_alpha 90.00
_cell_angle_beta 90.01
_cell_angle_gamma 90.00
loop_
_space_group_symop_operation_xyz
'x,y,z'
'-x,-y,-z'
'-x,y+1/2,-z+1/2'
'x,-y+1/2,z+1/2'
loop_
_atom_site_label
_atom_site_type_symbol
_atom_site_fract_x
_atom_site_fract_y
_atom_site_fract_z
Pb1 Pb 0.159 0.248 0.160
Pb2 Pb 0.341 0.250 0.410
Cl1 Cl 0.051 0.248 0.336
Cl2 Cl 0.192 0.750 0.005
Cl3 Cl 0.308 0.749 0.255
Cl4 Cl 0.449 0.250 0.086
# Calculated density (g cm⁻³): 5.98
# DOS(E_F) (states/eV/f.u.): 0.00
# Uncorrected energy (eV per atom): -3.79
# Formation energy from raw total energies (eV per formula unit): -3.4



# Fe2Pt2F, relaxed, DFT GGA-PBEsol
data_Fe2Pt2F
_chemical_formula_sum 'Fe4 Pt4 F2'
_space_group_name_H-M_alt 'I 4/m m m'
_space_group_IT_number 139
_space_group_name_Hall '-I 4 2'
_cell_length_a 3.659
_cell_length_b 3.659
_cell_length_c 11.953
_cell_angle_alpha 90.00
_cell_angle_beta 90.00
_cell_angle_gamma 90.00
loop_
_atom_site_label
_atom_site_type_symbol
_atom_site_fract_x
_atom_site_fract_y
_atom_site_fract_z
Fe1 Fe 0.000 0.000 0.103
Pt1 Pt 0.000 0.500 0.250
F1 F 0.000 0.000 0.500
# Calculated density (g cm⁻³): 10.81
# DOS(E_F) (states/eV/f.u.): 5.59
# Uncorrected energy (eV per atom): -6.54
# Formation energy from raw total energies (eV per formula unit): 1.1



# Ga3RhBr, relaxed, DFT GGA-PBEsol
data_Ga3RhBr
_chemical_formula_sum 'Ga3 Rh1 Br1'
_space_group_name_H-M_alt 'P m -3 m'
_space_group_IT_number 221
_space_group_name_Hall '-P 4 2 3'
_cell_length_a 4.956
_cell_length_b 4.956
_cell_length_c 4.956
_cell_angle_alpha 90.00
_cell_angle_beta 90.00
_cell_angle_gamma 90.00
loop_
_atom_site_label
_atom_site_type_symbol
_atom_site_fract_x
_atom_site_fract_y
_atom_site_fract_z
Ga1 Ga 0.000 0.000 0.500
Rh1 Rh 0.500 0.500 0.500
Br1 Br 0.000 0.000 0.000
# Calculated density (g cm⁻³): 5.35
# DOS(E_F) (states/eV/f.u.): 6.38
# Uncorrected energy (eV per atom): -2.83
# Formation energy from raw total energies (eV per formula unit): 5.9



# LiAgSb4, relaxed, DFT GGA-PBEsol
data_LiAgSb4
_chemical_formula_sum 'Li4 Ag4 Sb16'
_space_group_name_H-M_alt 'F -4 3 m'
_space_group_IT_number 216
_space_group_name_Hall 'F -4 2 3'
_cell_length_a 8.706
_cell_length_b 8.706
_cell_length_c 8.706
_cell_angle_alpha 90.00
_cell_angle_beta 90.00
_cell_angle_gamma 90.00
loop_
_atom_site_label
_atom_site_type_symbol
_atom_site_fract_x
_atom_site_fract_y
_atom_site_fract_z
Li1 Li 0.000 0.000 0.000
Ag1 Ag 0.250 0.250 0.750
Sb1 Sb 0.124 0.124 0.376
# Calculated density (g cm⁻³): 6.06
# DOS(E_F) (states/eV/f.u.): 3.74
# Uncorrected energy (eV per atom): -3.67
# Formation energy from raw total energies (eV per formula unit): 1.5